VASP calculation (PBE) on crystalline Mg2GaPd at its relaxed geometry.

Lattice parameters (Å, degrees): 5.312 3.059 9.118 90.00 101.62 90.00
Sites, in units of the cell vectors:
Mg  0.000  0.000  0.000
Mg  0.180  0.000  0.541
Mg  0.500  0.500  0.000
Mg  0.680  0.500  0.541
Ga  0.421  0.000  0.271
Ga  0.921  0.500  0.271
Pd  0.090  0.500  0.770
Pd  0.590  0.000  0.770

Calculated values
ΔE_f in meV/atom: -338.7



VASP calculation (PBE) on crystalline MgGa7Pd2 at its relaxed geometry.

Lattice parameters (Å, degrees): 6.992 6.992 4.852 90.00 90.00 110.68
Sites, in units of the cell vectors:
Mg  0.000  0.000  0.000
Ga  0.079  0.307  0.500
Ga  0.269  0.731  0.000
Ga  0.307  0.079  0.500
Ga  0.500  0.500  0.500
Ga  0.693  0.921  0.500
Ga  0.731  0.269  0.000
Ga  0.921  0.693  0.500
Pd  0.291  0.709  0.500
Pd  0.709  0.291  0.500

Calculated values
ΔE_f in meV/atom: -104.3



VASP calculation (PBE) on crystalline Mg4Ga5Pd at its relaxed geometry.

Lattice parameters (Å, degrees): 6.526 6.526 6.526 101.81 101.81 126.19
Sites, in units of the cell vectors:
Mg  0.053  0.307  0.360
Mg  0.307  0.947  0.254
Mg  0.693  0.053  0.746
Mg  0.947  0.693  0.640
Ga  0.227  0.227  0.000
Ga  0.286  0.598  0.852
Ga  0.434  0.286  0.688
Ga  0.598  0.746  0.312
Ga  0.746  0.434  0.148
Pd  0.807  0.807  0.000

Calculated values
ΔE_f in meV/atom: -187.7



VASP calculation (PBE) on crystalline MgGa3Pd3 at its relaxed geometry.

Lattice parameters (Å, degrees): 6.720 6.720 6.720 67.07 67.07 67.07
Sites, in units of the cell vectors:
Mg  0.166  0.166  0.166
Mg  0.834  0.834  0.834
Ga  0.040  0.384  0.732
Ga  0.268  0.960  0.616
Ga  0.384  0.732  0.040
Ga  0.616  0.268  0.960
Ga  0.732  0.040  0.384
Ga  0.960  0.616  0.268
Pd  0.131  0.756  0.446
Pd  0.244  0.554  0.869
Pd  0.446  0.131  0.756
Pd  0.554  0.869  0.244
Pd  0.756  0.446  0.131
Pd  0.869  0.244  0.554

Calculated values
ΔE_f in meV/atom: -521.3
Excess energy over the best structure of this formula in the dataset in eV/atom: 0.000



VASP calculation (PBE) on crystalline MgGa2Pd3 at its relaxed geometry.

Lattice parameters (Å, degrees): 3.110 3.110 9.569 90.00 90.00 90.00
Sites, in units of the cell vectors:
Mg  0.000  0.000  0.000
Ga  0.000  0.000  0.336
Ga  0.000  0.000  0.664
Pd  0.500  0.500  0.184
Pd  0.500  0.500  0.500
Pd  0.500  0.500  0.816

Calculated values
ΔE_f in meV/atom: -649.7
Excess energy over the best structure of this formula in the dataset in eV/atom: 0.023



VASP calculation (PBE) on crystalline Mg6GaPd12 at its relaxed geometry.

Lattice parameters (Å, degrees): 7.248 7.248 7.248 106.38 106.38 106.38
Sites, in units of the cell vectors:
Mg  0.027  0.292  0.414
Mg  0.292  0.414  0.027
Mg  0.414  0.027  0.292
Mg  0.586  0.973  0.708
Mg  0.708  0.586  0.973
Mg  0.973  0.708  0.586
Ga  0.500  0.500  0.500
Pd  0.020  0.900  0.315
Pd  0.100  0.685  0.980
Pd  0.235  0.652  0.367
Pd  0.315  0.020  0.900
Pd  0.348  0.633  0.765
Pd  0.367  0.235  0.652
Pd  0.633  0.765  0.348
Pd  0.652  0.367  0.235
Pd  0.685  0.980  0.100
Pd  0.765  0.348  0.633
Pd  0.900  0.315  0.020
Pd  0.980  0.100  0.685

Calculated values
ΔE_f in meV/atom: -502.5



VASP calculation (PBE) on crystalline Mg2GaPd at its relaxed geometry.

Lattice parameters (Å, degrees): 5.507 4.391 6.311 90.00 108.47 90.00
Sites, in units of the cell vectors:
Mg  0.141  0.250  0.411
Mg  0.217  0.250  0.919
Mg  0.783  0.750  0.081
Mg  0.859  0.750  0.589
Ga  0.349  0.750  0.242
Ga  0.651  0.250  0.758
Pd  0.381  0.750  0.685
Pd  0.619  0.250  0.315

Calculated values
ΔE_f in meV/atom: -468.8



VASP calculation (PBE) on crystalline MgGa8Pd2 at its relaxed geometry.

Lattice parameters (Å, degrees): 6.915 6.915 4.768 95.74 95.74 113.47
Sites, in units of the cell vectors:
Mg  0.000  0.000  0.000
Ga  0.078  0.315  0.615
Ga  0.249  0.751  0.000
Ga  0.315  0.078  0.615
Ga  0.392  0.392  0.194
Ga  0.608  0.608  0.806
Ga  0.685  0.922  0.385
Ga  0.751  0.249  0.000
Ga  0.922  0.685  0.385
Pd  0.312  0.688  0.500
Pd  0.688  0.312  0.500

Calculated values
ΔE_f in meV/atom: -205.9
Excess energy over the best structure of this formula in the dataset in eV/atom: 0.013



Q: Which value of ΔE_f does entry 7 give?
A: -468.8 meV/atom